# 1
Crystalline Sb2CSI at its relaxed geometry. Source: Alexandria, functional PBE-GGA.

Lattice parameters (Å, degrees): 4.856 4.856 4.864 90.00 90.00 90.00
Fractional coordinates of all 5 atoms:
Sb1 0.000 0.500 0.000
Sb2 0.500 0.000 0.000
C1 0.000 0.000 0.000
S1 0.500 0.500 0.500
I1 0.000 0.000 0.500

Calculated values
D(E_F), states/eV/f.u.: 4.223
Space-group type: P4/mmm (123)
Spin magnetization, Bohr magnetons per cell: 0.00
Energy above the most stable polymorph in this dataset, meV per atom: 0.0
Formation energy from raw total energies, eV per atom: 1.2042

# 2
Crystalline Sm6C2S3I at its relaxed geometry. Source: Alexandria, functional PBE-GGA.

Lattice parameters (Å, degrees): 8.901 8.901 8.244 100.94 100.94 25.40
Fractional coordinates of all 12 atoms:
Sm1 0.025 0.025 0.294
Sm2 0.318 0.318 0.863
Sm3 0.325 0.325 0.432
Sm4 0.675 0.675 0.568
Sm5 0.682 0.682 0.137
Sm6 0.975 0.975 0.706
C1 0.172 0.172 0.339
C2 0.828 0.828 0.661
S1 0.158 0.158 0.838
S2 0.500 0.500 0.500
S3 0.842 0.842 0.162
I1 0.500 0.500 0.000

Calculated values
D(E_F), states/eV/f.u.: 2.955
Space-group type: C2/m (12)
Spin magnetization, Bohr magnetons per cell: 0.00
Formation energy from raw total energies, eV per atom: -1.2306

# 3
Crystalline Sm6C2SI3 at its relaxed geometry. Source: Alexandria, functional PBE-GGA.

Lattice parameters (Å, degrees): 6.835 6.835 7.930 98.26 98.26 120.01
Fractional coordinates of all 12 atoms:
Sm1 0.087 0.442 0.825
Sm2 0.204 0.204 0.174
Sm3 0.442 0.087 0.825
Sm4 0.558 0.913 0.175
Sm5 0.796 0.796 0.826
Sm6 0.913 0.558 0.175
C1 0.167 0.833 0.000
C2 0.833 0.167 0.000
S1 0.500 0.500 0.000
I1 0.000 0.000 0.500
I2 0.336 0.664 0.500
I3 0.664 0.336 0.500

Calculated values
D(E_F), states/eV/f.u.: 3.697
Space-group type: C2/m (12)
Spin magnetization, Bohr magnetons per cell: 0.00
Formation energy from raw total energies, eV per atom: -0.9882

# 4
Crystalline Sm8C3SI4 at its relaxed geometry. Source: Alexandria, functional PBE-GGA.

Lattice parameters (Å, degrees): 8.861 8.861 8.861 52.59 52.59 52.59
Fractional coordinates of all 16 atoms:
Sm1 0.203 0.736 0.736
Sm2 0.224 0.224 0.224
Sm3 0.264 0.264 0.797
Sm4 0.264 0.797 0.264
Sm5 0.736 0.203 0.736
Sm6 0.736 0.736 0.203
Sm7 0.776 0.776 0.776
Sm8 0.797 0.264 0.264
C1 0.000 0.000 0.500
C2 0.000 0.500 0.000
C3 0.500 0.000 0.000
S1 0.500 0.500 0.500
I1 0.000 0.000 0.000
I2 0.000 0.500 0.500
I3 0.500 0.000 0.500
I4 0.500 0.500 0.000

Calculated values
D(E_F), states/eV/f.u.: 7.491
Space-group type: R-3m (166)
Spin magnetization, Bohr magnetons per cell: 0.00
Formation energy from raw total energies, eV per atom: -0.9168

- What is the D(E_F) in the second record?
  2.955 states/eV/f.u.